*i*
The following is a DFT calculation (PBE) of a relaxed Pa2PbI8 crystal.

Cell: 10.2505 10.2505 6.2836 Å, 90.00 90.00 120.00°
Space group P-3 (No. 147)
One atom of each set of equivalent atoms:
Pa 0.3333 0.6667 0.2711 (multiplicity 2)
Pb 0.0000 0.0000 0.5000 (multiplicity 1)
I 0.1633 0.3291 0.2432 (multiplicity 6)
I 0.3333 0.6667 0.7658 (multiplicity 2)

=====

*ii*
The following is a DFT calculation (PBE) of a relaxed Pa2PbI8 crystal.

Cell: 10.283 13.480 9.670 Å, 90.00 93.73 90.00°
Space group C2/m (No. 12)
One atom of each set of equivalent atoms:
Pa 0.117 0.000 0.309 (multiplicity 4)
Pb 0.000 0.000 0.000 (multiplicity 2)
I 0.083 0.206 0.217 (multiplicity 8)
I 0.105 0.500 0.733 (multiplicity 4)
I 0.179 0.000 0.624 (multiplicity 4)

=====

Energies relative to the most stable structure are *i* 12.2; *ii* 0.0, reported in kJ/mol of atoms.

=====

*i*
The following is a DFT calculation (PBE) of a relaxed Pa2S4I crystal.

Cell: 4.5521 4.5521 30.7397 Å, 90.00 90.00 120.00°
Space group R-3m (No. 166, hexagonal axes)
One atom of each set of equivalent atoms:
Pa 0.0000 0.0000 0.1051 (multiplicity 6)
S 0.0000 0.0000 0.1964 (multiplicity 6)
S 0.0000 0.0000 0.4127 (multiplicity 6)
I 0.0000 0.0000 0.0000 (multiplicity 3)

=====

*ii*
The following is a DFT calculation (PBE) of a relaxed Pa2S4I crystal.

Cell: 8.120 13.426 6.917 Å, 90.00 90.00 90.00°
Space group Ima2 (No. 46)
One atom of each set of equivalent atoms:
Pa 0.000 0.000 0.000 (multiplicity 4)
Pa 0.250 0.196 0.588 (multiplicity 4)
S 0.030 0.197 0.872 (multiplicity 8)
S 0.250 0.000 0.734 (multiplicity 4)
S 0.250 0.106 0.228 (multiplicity 4)
I 0.250 0.632 0.735 (multiplicity 4)

=====

Energies relative to the most stable structure are *i* 0.7; *ii* 0.0, reported in kJ/mol of atoms.

=====

*i*
The following is a DFT calculation (PBE) of a relaxed PaSI crystal.

Cell: 3.609 3.609 13.677 Å, 90.00 90.00 90.00°
Space group I4mm (No. 107)
One atom of each set of equivalent atoms:
Pa 0.000 0.000 0.000 (multiplicity 2)
S 0.000 0.000 0.588 (multiplicity 2)
I 0.000 0.000 0.343 (multiplicity 2)

=====

*ii*
The following is a DFT calculation (PBE) of a relaxed PaSI crystal.

Cell: 3.897 3.898 13.071 Å, 90.00 98.08 90.00°
Space group P2_1/m (No. 11)
One atom of each set of equivalent atoms:
Pa 0.198 0.250 0.390 (multiplicity 2)
S 0.303 0.250 0.611 (multiplicity 2)
I 0.093 0.250 0.167 (multiplicity 2)

=====

*iii*
The following is a DFT calculation (PBE) of a relaxed PaSI crystal.

Cell: 4.5912 4.5912 34.1995 Å, 90.00 90.00 120.00°
Space group R-3m (No. 166, hexagonal axes)
One atom of each set of equivalent atoms:
Pa 0.0000 0.0000 0.2122 (multiplicity 6)
S 0.0000 0.0000 0.1331 (multiplicity 6)
I 0.0000 0.0000 0.3933 (multiplicity 6)

=====

*iv*
The following is a DFT calculation (PBE) of a relaxed PaSI crystal.

Cell: 16.138 4.032 6.768 Å, 90.00 106.45 90.00°
Space group C2/m (No. 12)
One atom of each set of equivalent atoms:
Pa 0.249 0.000 0.257 (multiplicity 4)
S 0.160 0.000 0.852 (multiplicity 4)
I 0.104 0.500 0.315 (multiplicity 4)

=====

Energies relative to the most stable structure are *i* 15.9; *ii* 0.0; *iii* 7.7; *iv* 13.3, reported in kJ/mol of atoms.

=====

*i*
The following is a DFT calculation (PBE) of a relaxed PaS3I crystal.

Cell: 5.261 5.261 5.261 Å, 90.00 90.00 90.00°
Space group Pm-3m (No. 221)
One atom of each set of equivalent atoms:
Pa 0.000 0.000 0.000 (multiplicity 1)
S 0.000 0.000 0.500 (multiplicity 3)
I 0.500 0.500 0.500 (multiplicity 1)

=====

*ii*
The following is a DFT calculation (PBE) of a relaxed PaS3I crystal.

Cell: 3.974 8.961 8.712 Å, 90.00 95.35 90.00°
Space group P2_1/m (No. 11)
One atom of each set of equivalent atoms:
Pa 0.155 0.250 0.467 (multiplicity 2)
S 0.334 0.556 0.405 (multiplicity 4)
S 0.352 0.750 0.732 (multiplicity 2)
I 0.110 0.250 0.824 (multiplicity 2)

=====

Energies relative to the most stable structure are *i* 35.9; *ii* 0.0, reported in kJ/mol of atoms.

=====

*i*
The following is a DFT calculation (PBE) of a relaxed PaSbI crystal.

Cell: 5.3227 5.3227 3.5457 Å, 90.00 90.00 120.00°
Space group P-6m2 (No. 187)
One atom of each set of equivalent atoms:
Pa 0.0000 0.0000 0.0000 (multiplicity 1)
Sb 0.6667 0.3333 0.5000 (multiplicity 1)
I 0.3333 0.6667 0.0000 (multiplicity 1)

=====

*ii*
The following is a DFT calculation (PBE) of a relaxed PaSbI crystal.

Cell: 3.768 3.768 13.408 Å, 90.00 90.00 90.00°
Space group I4mm (No. 107)
One atom of each set of equivalent atoms:
Pa 0.000 0.000 0.000 (multiplicity 2)
Sb 0.000 0.000 0.379 (multiplicity 2)
I 0.000 0.000 0.647 (multiplicity 2)

=====

Energies relative to the most stable structure are *i* 21.1; *ii* 0.0, reported in kJ/mol of atoms.

=====

*i*
The following is a DFT calculation (PBE) of a relaxed PaSeI2 crystal.

Cell: 3.6345 3.6345 36.1535 Å, 90.00 90.00 120.00°
Space group R-3m (No. 166, hexagonal axes)
One atom of each set of equivalent atoms:
Pa 0.0000 0.0000 0.0000 (multiplicity 3)
Se 0.0000 0.0000 0.5000 (multiplicity 3)
I 0.0000 0.0000 0.3966 (multiplicity 6)

=====

*ii*
The following is a DFT calculation (PBE) of a relaxed PaSeI2 crystal.

Cell: 10.022 3.891 8.939 Å, 90.00 108.59 90.00°
Space group Cm (No. 8)
One atom of each set of equivalent atoms:
Pa 0.000 0.000 0.000 (multiplicity 2)
Se 0.209 0.500 0.000 (multiplicity 2)
I 0.016 0.500 0.281 (multiplicity 2)
I 0.357 0.000 0.719 (multiplicity 2)

=====

*iii*
The following is a DFT calculation (PBE) of a relaxed PaSeI2 crystal.

Cell: 4.363 5.449 15.269 Å, 90.00 90.00 90.00°
Space group Immm (No. 71)
One atom of each set of equivalent atoms:
Pa 0.000 0.000 0.000 (multiplicity 2)
Se 0.000 0.500 0.000 (multiplicity 2)
I 0.000 0.500 0.355 (multiplicity 4)

=====

Energies relative to the most stable structure are *i* 86.1; *ii* 0.0; *iii* 4.5, reported in kJ/mol of atoms.

=====

*i*
The following is a DFT calculation (PBE) of a relaxed Pa2SeI crystal.

Cell: 7.333 7.333 7.333 Å, 90.00 90.00 90.00°
Space group Fm-3m (No. 225)
One atom of each set of equivalent atoms:
Pa 0.250 0.250 0.250 (multiplicity 8)
Se 0.000 0.000 0.000 (multiplicity 4)
I 0.000 0.000 0.500 (multiplicity 4)

=====

*ii*
The following is a DFT calculation (PBE) of a relaxed Pa2SeI crystal.

Cell: 3.6676 3.6676 26.6186 Å, 90.00 90.00 120.00°
Space group R-3m (No. 166, hexagonal axes)
One atom of each set of equivalent atoms:
Pa 0.0000 0.0000 0.2400 (multiplicity 6)
Se 0.0000 0.0000 0.5000 (multiplicity 3)
I 0.0000 0.0000 0.0000 (multiplicity 3)

=====

Energies relative to the most stable structure are *i* 21.2; *ii* 0.0, reported in kJ/mol of atoms.

=====

*i*
The following is a DFT calculation (PBE) of a relaxed PaSnI crystal.

Cell: 16.625 3.552 6.152 Å, 90.00 90.00 90.00°
Space group Amm2 (No. 38)
One atom of each set of equivalent atoms:
Pa 0.156 0.000 0.000 (multiplicity 4)
Sn 0.000 0.000 0.667 (multiplicity 2)
Sn 0.500 0.000 0.671 (multiplicity 2)
I 0.299 0.000 0.667 (multiplicity 4)

=====

*ii*
The following is a DFT calculation (PBE) of a relaxed PaSnI crystal.

Cell: 5.3345 5.3345 3.4876 Å, 90.00 90.00 120.00°
Space group P-6m2 (No. 187)
One atom of each set of equivalent atoms:
Pa 0.0000 0.0000 0.0000 (multiplicity 1)
Sn 0.6667 0.3333 0.5000 (multiplicity 1)
I 0.3333 0.6667 0.0000 (multiplicity 1)

=====

Energies relative to the most stable structure are *i* 0.0; *ii* 15.6, reported in kJ/mol of atoms.

=====

*i*
The following is a DFT calculation (PBE) of a relaxed PaTcI crystal.

Cell: 3.636 3.636 11.628 Å, 90.00 90.00 90.00°
Space group I4mm (No. 107)
One atom of each set of equivalent atoms:
Pa 0.000 0.000 0.000 (multiplicity 2)
Tc 0.000 0.000 0.569 (multiplicity 2)
I 0.000 0.000 0.273 (multiplicity 2)

=====

*ii*
The following is a DFT calculation (PBE) of a relaxed PaTcI crystal.

Cell: 4.880 11.667 6.242 Å, 90.00 90.00 90.00°
Space group Pca2_1 (No. 29)
One atom of each set of equivalent atoms:
Pa 0.001 0.099 0.000 (multiplicity 4)
Tc 0.001 0.851 0.001 (multiplicity 4)
I 0.000 0.341 0.233 (multiplicity 4)

=====

Energies relative to the most stable structure are *i* 31.3; *ii* 0.0, reported in kJ/mol of atoms.

=====

*i*
The following is a DFT calculation (PBE) of a relaxed PaTeI crystal.

Cell: 5.2984 5.2984 3.8143 Å, 90.00 90.00 120.00°
Space group P3m1 (No. 156)
One atom of each set of equivalent atoms:
Pa 0.0000 0.0000 0.0000 (multiplicity 1)
Te 0.6667 0.3333 0.5014 (multiplicity 1)
I 0.3333 0.6667 0.0025 (multiplicity 1)

=====

*ii*
The following is a DFT calculation (PBE) of a relaxed PaTeI crystal.

Cell: 7.519 7.519 7.519 Å, 90.00 90.00 90.00°
Space group F-43m (No. 216)
One atom of each set of equivalent atoms:
Pa 0.000 0.000 0.000 (multiplicity 4)
Te 0.250 0.250 0.750 (multiplicity 4)
I 0.250 0.250 0.250 (multiplicity 4)

=====

Energies relative to the most stable structure are *i* 13.1; *ii* 0.0, reported in kJ/mol of atoms.

=====

*i*
The following is a DFT calculation (PBE) of a relaxed PaTeI crystal.

Cell: 16.622 4.172 7.096 Å, 90.00 106.06 90.00°
Space group C2/m (No. 12)
One atom of each set of equivalent atoms:
Pa 0.248 0.000 0.272 (multiplicity 4)
Te 0.138 0.000 0.843 (multiplicity 4)
I 0.111 0.500 0.324 (multiplicity 4)

=====

*ii*
The following is a DFT calculation (PBE) of a relaxed PaTeI crystal.

Cell: 3.780 3.780 14.599 Å, 90.00 90.00 90.00°
Space group I4mm (No. 107)
One atom of each set of equivalent atoms:
Pa 0.000 0.000 0.000 (multiplicity 2)
Te 0.000 0.000 0.384 (multiplicity 2)
I 0.000 0.000 0.636 (multiplicity 2)

=====

*iii*
The following is a DFT calculation (PBE) of a relaxed PaTeI crystal.

Cell: 4.095 6.054 9.681 Å, 90.00 90.31 90.00°
Space group P2_1/m (No. 11)
One atom of each set of equivalent atoms:
Pa 0.249 0.250 0.395 (multiplicity 2)
Te 0.248 0.750 0.362 (multiplicity 2)
I 0.254 0.750 0.848 (multiplicity 2)

=====

Energies relative to the most stable structure are *i* 6.9; *ii* 5.1; *iii* 0.0, reported in kJ/mol of atoms.

=====

*i*
The following is a DFT calculation (PBE) of a relaxed PaTeI2 crystal.

Cell: 3.6330 3.6330 39.0454 Å, 90.00 90.00 120.00°
Space group R-3m (No. 166, hexagonal axes)
One atom of each set of equivalent atoms:
Pa 0.0000 0.0000 0.0000 (multiplicity 3)
Te 0.0000 0.0000 0.5000 (multiplicity 3)
I 0.0000 0.0000 0.3921 (multiplicity 6)

=====

*ii*
The following is a DFT calculation (PBE) of a relaxed PaTeI2 crystal.

Cell: 3.957 12.152 7.624 Å, 90.00 90.00 90.00°
Space group Imm2 (No. 44)
One atom of each set of equivalent atoms:
Pa 0.000 0.000 0.000 (multiplicity 2)
Te 0.000 0.500 0.209 (multiplicity 2)
I 0.000 0.332 0.670 (multiplicity 4)

=====

Energies relative to the most stable structure are *i* 43.6; *ii* 0.0, reported in kJ/mol of atoms.